Record 1
A plane-wave DFT calculation with GGA-PBE was carried out for a relaxed structure of Sr2PdN2.

## Properties
Raw formation energy: -2.1 eV/f.u.
Space-group type: I4/mmm, No. 139

abc: 3.8468 3.8468 7.0781
angles: 105.77 105.77 90.00
Last column: magnetic moment on the atom in μB.
Atoms (fractional coordinates):
Sr  0.6500  0.6500  0.3001  0.02
Sr  0.3500  0.3500  0.6999  0.02
Pd  0.0000  0.0000  0.0000  0.43
N  0.8511  0.8511  0.7022  0.26
N  0.1489  0.1489  0.2978  0.26

Record 2
A plane-wave DFT calculation with GGA-PBE was carried out for a relaxed structure of CdSi.

## Properties
Raw formation energy: 1.0 eV/f.u.
Space-group type: P-1, No. 2

abc: 4.4876 3.4991 2.9414
angles: 112.35 71.03 91.15
Atoms (fractional coordinates):
Si  0.0000  0.7730  0.8365
Cd  0.5000  0.2728  0.8371

Record 3
A plane-wave DFT calculation with GGA-PBE was carried out for a relaxed structure of ZnRhAu.

## Properties
Energy relative to the lowest polymorph listed for this composition: 224 meV/atom
ΔE_f: 0.039 eV/atom
Space-group type: F-43m, No. 216

abc: 4.1823 4.1823 4.1823
angles: 60.00 60.00 60.00
Atoms (fractional coordinates):
Au  0.0000  0.0000  0.0000
Rh  0.5000  0.5000  0.5000
Zn  0.7500  0.7500  0.7500

Record 4
A plane-wave DFT calculation with GGA-PBE was carried out for a relaxed structure of SiAs2Br.

## Properties
Raw formation energy: 1.4 eV/f.u.
Energy relative to the lowest polymorph listed for this composition: 281 meV/atom
Space-group type: I-42d, No. 122

abc: 6.7339 6.7339 6.7330
angles: 60.00 60.00 90.00
Atoms (fractional coordinates):
As  0.5630  0.1250  0.2500
As  0.1870  0.6250  0.2500
As  0.3750  0.4370  0.7500
As  0.8750  0.8130  0.7500
Si  0.5000  0.5000  0.0000
Si  0.2500  0.7500  0.5000
Br  0.0000  0.0000  0.0000
Br  0.7500  0.2500  0.5000

Record 5
A plane-wave DFT calculation with GGA-PBE was carried out for a relaxed structure of K3Pu6Cl20.

## Properties
Raw formation energy: -54.9 eV/f.u.
Space-group type: Fm-3m, No. 225

abc: 10.2614 10.2615 10.2615
angles: 60.00 60.00 60.00
Last column: magnetic moment on the atom in μB.
Atoms (fractional coordinates):
K  0.7500  0.7500  0.7500  0.00
K  0.2500  0.2500  0.2500  0.00
K  0.0000  0.0000  0.0000  0.00
Pu  0.2665  0.7335  0.7335  5.16
Pu  0.7335  0.2665  0.2665  5.16
Pu  0.2665  0.2665  0.7335  5.16
Pu  0.7335  0.2665  0.7335  5.16
Pu  0.2665  0.7335  0.2665  5.16
Pu  0.7335  0.7335  0.2665  5.16
Cl  0.3837  0.3837  0.8490  -0.03
Cl  0.1510  0.6163  0.6163  -0.03
Cl  0.6684  0.0000  0.0000  -0.03
Cl  0.6684  0.3316  0.0000  -0.03
Cl  0.0000  0.0000  0.6684  -0.03
Cl  0.3837  0.8490  0.3837  -0.03
Cl  0.0000  0.3316  0.6684  -0.03
Cl  0.6684  0.0000  0.3316  -0.03
Cl  0.0000  0.6684  0.0000  -0.03
Cl  0.0000  0.0000  0.3316  -0.03
Cl  0.3316  0.0000  0.6684  -0.03
Cl  0.0000  0.3316  0.0000  -0.03
Cl  0.3316  0.6684  0.0000  -0.03
Cl  0.3316  0.0000  0.0000  -0.03
Cl  0.3837  0.3837  0.3837  -0.03
Cl  0.6163  0.6163  0.1510  -0.03
Cl  0.6163  0.6163  0.6163  -0.03
Cl  0.6163  0.1510  0.6163  -0.03
Cl  0.8490  0.3837  0.3837  -0.03
Cl  0.0000  0.6684  0.3316  -0.03

Record 6
A plane-wave DFT calculation with GGA-PBE was carried out for a relaxed structure of HfTaNbIr.

## Properties
ΔE_f: -0.452 eV/atom
Space-group type: F-43m, No. 216

abc: 4.6246 4.6246 4.6246
angles: 60.00 60.00 60.00
Atoms (fractional coordinates):
Nb  0.5000  0.5000  0.5000
Ir  0.0000  0.0000  0.0000
Hf  0.7500  0.7500  0.7500
Ta  0.2500  0.2500  0.2500

Record 7
A plane-wave DFT calculation with GGA-PBE was carried out for a relaxed structure of RbBF2.

## Properties
Raw formation energy: -3.6 eV/f.u.
Energy relative to the lowest polymorph listed for this composition: 95 meV/atom
Space-group type: I-42d, No. 122

abc: 5.4046 5.4046 6.8698
angles: 66.84 66.84 90.00
Atoms (fractional coordinates):
B  0.5000  0.5000  0.0000
B  0.2500  0.7500  0.5000
Rb  0.0000  0.0000  0.0000
Rb  0.7500  0.2500  0.5000
F  0.5116  0.1250  0.2500
F  0.2384  0.6250  0.2500
F  0.3750  0.4884  0.7500
F  0.8750  0.7616  0.7500

Record 8
A plane-wave DFT calculation with GGA-PBE was carried out for a relaxed structure of Eu3Ho5Cd12.

## Properties
ΔE_f: 0.285 eV/atom
Space-group type: Ia-3d, No. 230

abc: 15.3729 15.3729 15.3729
angles: 109.47 109.47 109.47
Last column: magnetic moment on the atom in μB.
Atoms (fractional coordinates):
Eu  0.7500  0.3750  0.1250  -6.89
Eu  0.8750  0.7500  0.1250  -6.89
Eu  0.3750  0.7500  0.6250  -6.89
Eu  0.2500  0.1250  0.3750  -6.89
Eu  0.8750  0.1250  0.2500  -6.89
Eu  0.3750  0.6250  0.2500  -6.89
Eu  0.6250  0.3750  0.7500  -6.89
Eu  0.1250  0.8750  0.7500  -6.89
Eu  0.7500  0.8750  0.6250  -6.89
Eu  0.6250  0.2500  0.3750  -6.89
Eu  0.1250  0.2500  0.8750  -6.89
Eu  0.2500  0.6250  0.8750  -6.89
Ho  0.1250  0.3750  0.2500  0.02
Ho  0.0000  0.5000  0.0000  0.01
Ho  0.0000  0.0000  0.0000  0.01
Ho  0.3750  0.2500  0.1250  0.02
Ho  0.5000  0.0000  0.5000  0.01
Ho  0.5000  0.5000  0.0000  0.01
Ho  0.1250  0.7500  0.3750  0.02
Ho  0.7500  0.1250  0.8750  0.02
Ho  0.7500  0.6250  0.3750  0.02
Ho  0.3750  0.1250  0.7500  0.02
Ho  0.6250  0.8750  0.2500  0.02
Ho  0.5000  0.5000  0.5000  0.01
Ho  0.5000  0.0000  0.0000  0.01
Ho  0.0000  0.0000  0.5000  0.01
Ho  0.2500  0.3750  0.6250  0.02
Ho  0.2500  0.8750  0.1250  0.02
Ho  0.0000  0.5000  0.5000  0.01
Ho  0.8750  0.2500  0.6250  0.02
Ho  0.6250  0.7500  0.8750  0.02
Ho  0.8750  0.6250  0.7500  0.02
Cd  0.7272  0.1467  0.0699  -0.01
Cd  0.3427  0.5699  0.4232  -0.01
Cd  0.9301  0.3533  0.2728  -0.01
Cd  0.5699  0.2272  0.1467  -0.01
Cd  0.5805  0.7272  0.6573  -0.01
Cd  0.9301  0.5768  0.1573  -0.01
Cd  0.3427  0.7728  0.4195  -0.01
Cd  0.0768  0.9195  0.1467  -0.01
Cd  0.5768  0.9301  0.6573  -0.01
Cd  0.7272  0.5805  0.1573  -0.01
Cd  0.7728  0.4301  0.3533  -0.01
Cd  0.8427  0.9232  0.0699  -0.01
Cd  0.1467  0.7272  0.5699  -0.01
Cd  0.3533  0.4232  0.0805  -0.01
Cd  0.0805  0.9232  0.3533  -0.01
Cd  0.4195  0.1467  0.5768  -0.01
Cd  0.0805  0.1573  0.2272  -0.01
Cd  0.4301  0.6573  0.0768  -0.01
Cd  0.8427  0.9195  0.2728  -0.01
Cd  0.1467  0.4195  0.0768  -0.01
Cd  0.3533  0.9301  0.7728  -0.01
Cd  0.5768  0.6467  0.4195  -0.01
Cd  0.9232  0.8427  0.5699  -0.01
Cd  0.7728  0.3427  0.9195  -0.01
Cd  0.4232  0.3533  0.5805  -0.01
Cd  0.0768  0.1573  0.4301  -0.01
Cd  0.2272  0.6573  0.0805  -0.01
Cd  0.1573  0.0805  0.7272  -0.01
Cd  0.6467  0.0699  0.2272  -0.01
Cd  0.8533  0.5805  0.9232  -0.01
Cd  0.5699  0.3427  0.9232  -0.01
Cd  0.5805  0.8533  0.4232  -0.01
Cd  0.9195  0.8427  0.7728  -0.01
Cd  0.9195  0.0768  0.6467  -0.01
Cd  0.8533  0.2728  0.4301  -0.01
Cd  0.1573  0.0768  0.9301  -0.01
Cd  0.6467  0.5768  0.9195  -0.01
Cd  0.4232  0.0699  0.3427  -0.01
Cd  0.2728  0.4195  0.8427  -0.01
Cd  0.2272  0.5699  0.6467  -0.01
Cd  0.9232  0.0805  0.8533  -0.01
Cd  0.6573  0.2272  0.5805  -0.01
Cd  0.4301  0.7728  0.8533  -0.01
Cd  0.0699  0.4232  0.8427  -0.01
Cd  0.4195  0.2728  0.3427  -0.01
Cd  0.0699  0.6467  0.7272  -0.01
Cd  0.6573  0.4301  0.5768  -0.01
Cd  0.2728  0.8533  0.9301  -0.01

Record 9
A plane-wave DFT calculation with GGA-PBE was carried out for a relaxed structure of La2Pr4Sn3O2.

## Properties
Raw formation energy: -16.4 eV/f.u.
Space-group type: I4/mmm, No. 139

abc: 4.9019 4.9019 13.5922
angles: 100.39 100.39 90.00
Atoms (fractional coordinates):
La  0.3066  0.3066  0.6132
La  0.6934  0.6934  0.3868
Pr  0.4186  0.9186  0.8373
Pr  0.9186  0.4186  0.8373
Pr  0.0814  0.5814  0.1627
Pr  0.5814  0.0814  0.1627
Sn  0.0000  0.0000  0.0000
Sn  0.1757  0.1757  0.3515
Sn  0.8243  0.8243  0.6485
O  0.3977  0.3977  0.7954
O  0.6023  0.6023  0.2046

Record 10
A plane-wave DFT calculation with GGA-PBE was carried out for a relaxed structure of ErScCuAg.

## Properties
Energy relative to the lowest polymorph listed for this composition: 28 meV/atom
ΔE_f: -0.250 eV/atom
Space-group type: F-43m, No. 216

abc: 4.8771 4.8771 4.8771
angles: 60.00 60.00 60.00
Atoms (fractional coordinates):
Sc  0.5000  0.5000  0.5000
Cu  0.2500  0.2500  0.2500
Ag  0.7500  0.7500  0.7500
Er  0.0000  0.0000  0.0000

no.,D(E_F) (states/eV/cell),DFT total energy (eV per atom)
1,4.2,-5.452
2,0.8,-2.680
3,2.6,-3.928
4,7.3,-3.760
5,85.0,-6.246
6,2.4,-10.636
7,0.0,-3.746
8,77.4,-2.949
9,5.7,-6.121
10,2.6,-4.711